# 1
This record from Alexandria describes a geometry-optimized Ca4La2P3H2 structure. The functional is PBE.

Unit cell a=4.5053 b=4.5053 c=12.1772 alpha=100.66 beta=100.66 gamma=90.00
Atoms (fractional coordinates):
1 Ca 0.4219 0.9219 0.8438
2 Ca 0.9219 0.4219 0.8438
3 Ca 0.0781 0.5781 0.1562
4 Ca 0.5781 0.0781 0.1562
5 La 0.2981 0.2981 0.5962
6 La 0.7019 0.7019 0.4038
7 P 0.0000 0.0000 0.0000
8 P 0.1688 0.1688 0.3377
9 P 0.8312 0.8312 0.6623
10 H 0.4043 0.4043 0.8085
11 H 0.5957 0.5957 0.1915

Output
The value obtained for the total energy is -51.018 eV per cell.

# 2
This record from Alexandria describes a geometry-optimized CaLaHPb2 structure. The functional is PBE.

Unit cell a=5.2682 b=5.2682 c=4.6165 alpha=90.00 beta=90.00 gamma=90.00
Atoms (fractional coordinates):
1 Pb 0.0000 0.5000 0.0000
2 Pb 0.5000 0.0000 0.0000
3 H 0.0000 0.0000 0.0000
4 Ca 0.5000 0.5000 0.5000
5 La 0.0000 0.0000 0.5000

Output
The value obtained for the total energy is -19.556 eV per cell.

# 3
This record from Alexandria describes a geometry-optimized CaLaH8Pd2 structure. The functional is PBE.

Unit cell a=4.7653 b=4.7653 c=7.0238 alpha=70.17 beta=70.17 gamma=60.00
Atoms (fractional coordinates):
1 Ca 0.0000 0.0000 0.0000
2 La 0.5000 0.5000 0.5000
3 H 0.1482 0.1482 0.5554
4 H 0.4646 0.4646 0.1620
5 H 0.8518 0.8518 0.4446
6 H 0.9088 0.4646 0.1620
7 H 0.0912 0.5354 0.8380
8 H 0.4646 0.9088 0.1620
9 H 0.5354 0.0912 0.8380
10 H 0.5354 0.5354 0.8380
11 Pd 0.2386 0.2386 0.2841
12 Pd 0.7614 0.7614 0.7159

Output
The value obtained for the total energy is -46.636 eV per cell.

# 4
This record from Alexandria describes a geometry-optimized CaLaH8Pt2 structure. The functional is PBE.

Unit cell a=5.0570 b=5.0570 c=6.7621 alpha=68.04 beta=68.04 gamma=60.00
Atoms (fractional coordinates):
1 Ca 0.0000 0.0000 0.0000
2 La 0.5000 0.5000 0.5000
3 H 0.1722 0.1722 0.4833
4 H 0.3856 0.5334 0.1786
5 H 0.8278 0.8278 0.5167
6 H 0.9024 0.3856 0.1786
7 H 0.0976 0.6144 0.8214
8 H 0.5334 0.9024 0.1786
9 H 0.4666 0.0976 0.8214
10 H 0.6144 0.4666 0.8214
11 Pt 0.2603 0.2603 0.2192
12 Pt 0.7397 0.7397 0.7808

Output
The value obtained for the total energy is -49.494 eV per cell.

# 5
This record from Alexandria describes a geometry-optimized CaLaH6Rh2 structure. The functional is PBE.

Unit cell a=4.9452 b=4.9452 c=5.9747 alpha=65.55 beta=65.55 gamma=60.00
Atoms (fractional coordinates):
1 Ca 0.5000 0.5000 0.5000
2 La 0.0000 0.0000 0.0000
3 H 0.0291 0.5744 0.8218
4 H 0.5746 0.0291 0.8218
5 H 0.4256 0.4254 0.1782
6 H 0.9709 0.4256 0.1782
7 H 0.4254 0.9709 0.1782
8 H 0.5744 0.5746 0.8218
9 Rh 0.7911 0.7911 0.6266
10 Rh 0.2089 0.2089 0.3734

Output
The value obtained for the total energy is -45.759 eV per cell.

# 6
This record from Alexandria describes a geometry-optimized Ca2LaH8Ru structure. The functional is PBE.

Unit cell a=4.8773 b=4.8773 c=6.7653 alpha=90.00 beta=90.00 gamma=120.00
Atoms (fractional coordinates):
1 Ca 0.6667 0.3333 0.1424
2 Ca 0.3333 0.6667 0.8576
3 La 0.0000 0.0000 0.5000
4 H 0.8406 0.6811 0.8387
5 H 0.3189 0.1594 0.8387
6 H 0.8406 0.1594 0.8387
7 H 0.1594 0.3189 0.1613
8 H 0.6811 0.8406 0.1613
9 H 0.1594 0.8406 0.1613
10 H 0.6667 0.3333 0.4734
11 H 0.3333 0.6667 0.5266
12 Ru 0.0000 0.0000 0.0000

Output
The value obtained for the total energy is -50.849 eV per cell.

# 7
This record from Alexandria describes a geometry-optimized Ca4La2Sb3H2 structure. The functional is PBE.

Unit cell a=4.7774 b=4.7774 c=13.1453 alpha=100.47 beta=100.47 gamma=90.00
Atoms (fractional coordinates):
1 Ca 0.4189 0.9189 0.8379
2 Ca 0.9189 0.4189 0.8379
3 Ca 0.0811 0.5811 0.1621
4 Ca 0.5811 0.0811 0.1621
5 La 0.3001 0.3001 0.6003
6 La 0.6999 0.6999 0.3997
7 Sb 0.0000 0.0000 0.0000
8 Sb 0.1712 0.1712 0.3424
9 Sb 0.8288 0.8288 0.6576
10 H 0.4011 0.4011 0.8022
11 H 0.5989 0.5989 0.1978

Output
The value obtained for the total energy is -46.517 eV per cell.

# 8
This record from Alexandria describes a geometry-optimized CaLa2SbH structure. The functional is PBE.

Unit cell a=4.9269 b=4.9269 c=5.1731 alpha=90.00 beta=90.00 gamma=90.00
Atoms (fractional coordinates):
1 Sb 0.5000 0.5000 0.5000
2 Ca 0.0000 0.0000 0.5000
3 H 0.0000 0.0000 0.0000
4 La 0.0000 0.5000 0.0000
5 La 0.5000 0.0000 0.0000

Output
The value obtained for the total energy is -22.275 eV per cell.

# 9
This record from Alexandria describes a geometry-optimized CaLaScH2 structure. The functional is PBE.

Unit cell a=4.4101 b=4.4101 c=5.8620 alpha=90.00 beta=90.00 gamma=90.00
Atoms (fractional coordinates):
1 Sc 0.0000 0.0000 0.0000
2 H 0.0000 0.5000 0.0000
3 H 0.5000 0.0000 0.0000
4 Ca 0.5000 0.5000 0.5000
5 La 0.0000 0.0000 0.5000

Output
The value obtained for the total energy is -17.166 eV per cell.

# 10
This record from Alexandria describes a geometry-optimized CaLaSi2H structure. The functional is PBE.

Unit cell a=4.6885 b=4.4053 c=4.6885 alpha=90.00 beta=90.00 gamma=90.00
Atoms (fractional coordinates):
1 H 0.0000 0.0000 0.0000
2 Ca 0.5000 0.5000 0.5000
3 Si 0.0000 0.0000 0.5000
4 Si 0.5000 0.0000 0.0000
5 La 0.0000 0.5000 0.0000

Output
The value obtained for the total energy is -21.986 eV per cell.

# 11
This record from Alexandria describes a geometry-optimized CaLa2SiH structure. The functional is PBE.

Unit cell a=4.8598 b=4.8598 c=4.9306 alpha=90.00 beta=90.00 gamma=90.00
Atoms (fractional coordinates):
1 H 0.0000 0.0000 0.0000
2 Ca 0.0000 0.0000 0.5000
3 Si 0.5000 0.5000 0.5000
4 La 0.0000 0.5000 0.0000
5 La 0.5000 0.0000 0.0000

Output
The value obtained for the total energy is -22.181 eV per cell.

# 12
This record from Alexandria describes a geometry-optimized Ca2LaSiH structure. The functional is PBE.

Unit cell a=4.8269 b=4.8269 c=4.8864 alpha=90.00 beta=90.00 gamma=90.00
Each line ends with the local moment (μB).
Atoms (fractional coordinates):
1 H 0.0000 0.0000 0.0000  0.00
2 Ca 0.0000 0.5000 0.0000  0.04
3 Ca 0.5000 0.0000 0.0000  0.04
4 Si 0.5000 0.5000 0.5000  -0.01
5 La 0.0000 0.0000 0.5000  0.15

Output
The value obtained for the total energy is -19.127 eV per cell.

# 13
This record from Alexandria describes a geometry-optimized Ca4La2Sn3H2 structure. The functional is PBE.

Unit cell a=4.8134 b=4.8134 c=13.4036 alpha=100.34 beta=100.34 gamma=90.00
Atoms (fractional coordinates):
1 Ca 0.4204 0.9204 0.8409
2 Ca 0.9204 0.4204 0.8409
3 Ca 0.0796 0.5796 0.1591
4 Ca 0.5796 0.0796 0.1591
5 La 0.3031 0.3031 0.6062
6 La 0.6969 0.6969 0.3938
7 Sn 0.0000 0.0000 0.0000
8 Sn 0.1734 0.1734 0.3468
9 Sn 0.8266 0.8266 0.6532
10 H 0.4003 0.4003 0.8005
11 H 0.5997 0.5997 0.1995

Output
The value obtained for the total energy is -43.628 eV per cell.

# 14
This record from Alexandria describes a geometry-optimized SrCaLa2H structure. The functional is PBE.

Unit cell a=5.2758 b=5.2758 c=5.7830 alpha=90.00 beta=90.00 gamma=90.00
Atoms (fractional coordinates):
1 Sr 0.0000 0.0000 0.5000
2 Ca 0.5000 0.5000 0.5000
3 H 0.0000 0.0000 0.0000
4 La 0.0000 0.5000 0.0000
5 La 0.5000 0.0000 0.0000

Output
The offset from the most stable computed form is 0 meV per atom.

# 15
This record from Alexandria describes a geometry-optimized SrCa2LaH structure. The functional is PBE.

Unit cell a=5.9372 b=5.9372 c=4.7783 alpha=90.00 beta=90.00 gamma=90.00
Atoms (fractional coordinates):
1 Sr 0.5000 0.5000 0.5000
2 Ca 0.0000 0.5000 0.0000
3 Ca 0.5000 0.0000 0.0000
4 H 0.0000 0.0000 0.0000
5 La 0.0000 0.0000 0.5000

Output
The offset from the most stable computed form is 0 meV per atom.

# 16
This record from Alexandria describes a geometry-optimized SrCaLa2H structure. The functional is PBE.

Unit cell a=5.3027 b=5.3027 c=5.6945 alpha=90.00 beta=90.00 gamma=90.00
Atoms (fractional coordinates):
1 Sr 0.5000 0.5000 0.5000
2 Ca 0.0000 0.0000 0.5000
3 H 0.0000 0.0000 0.0000
4 La 0.0000 0.5000 0.0000
5 La 0.5000 0.0000 0.0000

Output
The offset from the most stable computed form is 13 meV per atom.

# 17
This record from Alexandria describes a geometry-optimized SrCa2LaH structure. The functional is PBE.

Unit cell a=5.3006 b=5.3006 c=5.8247 alpha=90.00 beta=90.00 gamma=90.00
Each line ends with the local moment (μB).
Atoms (fractional coordinates):
1 Sr 0.0000 0.0000 0.5000  0.01
2 Ca 0.0000 0.5000 0.0000  0.01
3 Ca 0.5000 0.0000 0.0000  0.01
4 H 0.0000 0.0000 0.0000  0.00
5 La 0.5000 0.5000 0.5000  0.05

Output
The offset from the most stable computed form is 51 meV per atom.

# 18
This record from Alexandria describes a geometry-optimized Sr2CaLaH structure. The functional is PBE.

Unit cell a=6.0766 b=6.0766 c=4.7080 alpha=90.00 beta=90.00 gamma=90.00
Atoms (fractional coordinates):
1 Sr 0.0000 0.5000 0.0000
2 Sr 0.5000 0.0000 0.0000
3 Ca 0.0000 0.0000 0.5000
4 H 0.0000 0.0000 0.0000
5 La 0.5000 0.5000 0.5000

Output
The offset from the most stable computed form is 36 meV per atom.

# 19
This record from Alexandria describes a geometry-optimized Sr2CaLaH structure. The functional is PBE.

Unit cell a=6.0990 b=6.0990 c=4.8062 alpha=90.00 beta=90.00 gamma=90.00
Atoms (fractional coordinates):
1 Sr 0.0000 0.5000 0.0000
2 Sr 0.5000 0.0000 0.0000
3 Ca 0.5000 0.5000 0.5000
4 H 0.0000 0.0000 0.0000
5 La 0.0000 0.0000 0.5000

Output
The offset from the most stable computed form is 0 meV per atom.

# 20
This record from Alexandria describes a geometry-optimized CaLa2TlH structure. The functional is PBE.

Unit cell a=5.0146 b=5.0146 c=5.2237 alpha=90.00 beta=90.00 gamma=90.00
Atoms (fractional coordinates):
1 H 0.0000 0.0000 0.0000
2 Tl 0.5000 0.5000 0.5000
3 Ca 0.0000 0.0000 0.5000
4 La 0.0000 0.5000 0.0000
5 La 0.5000 0.0000 0.0000

Output
The offset from the most stable computed form is 0 meV per atom.